#i
# Ce2PaSn

A relaxed structure of Ce2PaSn (PBE, Alexandria).

Summary:
The volume comes out at 26.88 Å³ per atom. The calculation puts the density of states at the Fermi level at 2.871 states/eV per atom. As for the density: 9.73 g/cm3.

a b c (Å): 5.337 5.337 5.337
angles (deg): 60.00 60.00 60.00
Last column: magnetic moment on the atom in μB.
Element x y z (fractional)
Pa1 0.000 0.000 0.000  1.33
Sn1 0.500 0.500 0.500  -0.04
Ce1 0.250 0.250 0.250  0.83
Ce2 0.750 0.750 0.750  0.83

#ii
# Ce2PaSn

A relaxed structure of Ce2PaSn (PBE, Alexandria).

Summary:
The volume comes out at 26.55 Å³ per atom. The calculation puts the density of states at the Fermi level at 2.943 states/eV per atom. As for the density: 9.85 g/cm3.

a b c (Å): 3.955 3.955 6.787
angles (deg): 90.00 90.00 90.00
Last column: magnetic moment on the atom in μB.
Element x y z (fractional)
Pa1 0.500 0.500 0.500  0.60
Sn1 0.500 0.500 0.000  -0.01
Ce1 0.000 0.000 0.753  0.55
Ce2 0.000 0.000 0.247  0.55

Which one sits at the bottom of the stability order? #i does.

#i
# TbCe2Pa

A relaxed structure of TbCe2Pa (PBE, Alexandria).

Summary:
The volume comes out at 30.73 Å³ per atom. The calculation puts the density of states at the Fermi level at 2.712 states/eV per atom. As for the density: 9.05 g/cm3.

a b c (Å): 3.812 3.812 10.013
angles (deg): 79.03 79.03 60.00
Element x y z (fractional)
Pa1 0.500 0.500 0.500
Tb1 0.000 0.000 0.000
Ce1 0.111 0.111 0.667
Ce2 0.889 0.889 0.333

#ii
# TbCe2Pa

A relaxed structure of TbCe2Pa (PBE, Alexandria).

Summary:
The volume comes out at 27.54 Å³ per atom. The calculation puts the density of states at the Fermi level at 2.688 states/eV per atom. As for the density: 10.10 g/cm3.

a b c (Å): 3.327 3.327 11.652
angles (deg): 81.79 81.79 60.00
Element x y z (fractional)
Tb1 0.668 0.668 0.997
Ce1 0.086 0.086 0.742
Ce2 0.247 0.247 0.260
Pa1 0.500 0.500 0.501

#iii
# TbCe2Pa

A relaxed structure of TbCe2Pa (PBE, Alexandria).

Summary:
The volume comes out at 27.80 Å³ per atom. The calculation puts the density of states at the Fermi level at 2.299 states/eV per atom. As for the density: 10.01 g/cm3.

a b c (Å): 3.349 3.349 9.916
angles (deg): 90.00 90.00 90.00
Element x y z (fractional)
Pa1 0.500 0.500 0.000
Tb1 0.500 0.500 0.500
Ce1 0.000 0.000 0.767
Ce2 0.000 0.000 0.233

Which one sits at the bottom of the stability order? #i does.

#i
# CePaTc2

A relaxed structure of CePaTc2 (PBE, Alexandria).

Summary:
The volume comes out at 20.74 Å³ per atom. The calculation puts the density of states at the Fermi level at 1.034 states/eV per atom. As for the density: 11.35 g/cm3.

a b c (Å): 3.433 3.433 7.041
angles (deg): 90.00 90.00 90.00
Element x y z (fractional)
Pa1 0.500 0.500 0.000
Tc1 0.000 0.000 0.778
Tc2 0.000 0.000 0.222
Ce1 0.500 0.500 0.500

#ii
# CePaTc2

A relaxed structure of CePaTc2 (PBE, Alexandria).

Summary:
The volume comes out at 20.54 Å³ per atom. The calculation puts the density of states at the Fermi level at 1.036 states/eV per atom. As for the density: 11.47 g/cm3.

a b c (Å): 4.879 4.879 4.879
angles (deg): 60.00 60.00 60.00
Element x y z (fractional)
Pa1 0.000 0.000 0.000
Tc1 0.250 0.250 0.250
Tc2 0.750 0.750 0.750
Ce1 0.500 0.500 0.500

Which one sits at the bottom of the stability order? #ii does.

#i
# CePaTe2

A relaxed structure of CePaTe2 (PBE, Alexandria).

Summary:
The volume comes out at 27.49 Å³ per atom. The calculation puts the density of states at the Fermi level at 3.056 states/eV per atom. As for the density: 9.46 g/cm3.

a b c (Å): 3.792 3.792 7.646
angles (deg): 90.00 90.00 90.00
Last column: magnetic moment on the atom in μB.
Element x y z (fractional)
Pa1 0.500 0.500 0.000  1.25
Te1 0.000 0.000 0.759  -0.04
Te2 0.000 0.000 0.241  -0.04
Ce1 0.500 0.500 0.500  1.19

#ii
# CePaTe2

A relaxed structure of CePaTe2 (PBE, Alexandria).

Summary:
The volume comes out at 27.51 Å³ per atom. The calculation puts the density of states at the Fermi level at 3.131 states/eV per atom. As for the density: 9.45 g/cm3.

a b c (Å): 5.379 5.379 5.379
angles (deg): 60.00 60.00 60.00
Last column: magnetic moment on the atom in μB.
Element x y z (fractional)
Pa1 0.000 0.000 0.000  1.48
Te1 0.250 0.250 0.250  -0.04
Te2 0.750 0.750 0.750  -0.04
Ce1 0.500 0.500 0.500  1.10

Which one sits at the bottom of the stability order? #ii does.

#i
# Ce2ThPa

A relaxed structure of Ce2ThPa (PBE, Alexandria).

Summary:
The volume comes out at 27.33 Å³ per atom. The calculation puts the density of states at the Fermi level at 2.351 states/eV per atom. As for the density: 11.29 g/cm3.

a b c (Å): 4.774 4.785 4.785
angles (deg): 90.00 90.00 90.00
Element x y z (fractional)
Pa1 0.500 0.500 0.500
Ce1 0.000 0.000 0.500
Ce2 0.000 0.500 0.000
Th1 0.500 0.000 0.000

#ii
# Ce2ThPa

A relaxed structure of Ce2ThPa (PBE, Alexandria).

Summary:
The volume comes out at 27.14 Å³ per atom. The calculation puts the density of states at the Fermi level at 1.932 states/eV per atom. As for the density: 11.37 g/cm3.

a b c (Å): 3.246 3.246 12.046
angles (deg): 82.26 82.26 60.00
Element x y z (fractional)
Pa1 0.000 0.000 0.000
Ce1 0.083 0.083 0.750
Ce2 0.917 0.917 0.250
Th1 0.500 0.500 0.500

#iii
# Ce2ThPa

A relaxed structure of Ce2ThPa (PBE, Alexandria).

Summary:
The volume comes out at 28.00 Å³ per atom. The calculation puts the density of states at the Fermi level at 2.706 states/eV per atom. As for the density: 11.02 g/cm3.

a b c (Å): 4.056 4.056 8.203
angles (deg): 75.69 75.69 60.00
Element x y z (fractional)
Ce1 0.067 0.067 0.799
Ce2 0.267 0.267 0.199
Th1 0.494 0.494 0.519
Pa1 0.672 0.672 0.983

#iv
# Ce2ThPa

A relaxed structure of Ce2ThPa (PBE, Alexandria).

Summary:
The volume comes out at 27.46 Å³ per atom. The calculation puts the density of states at the Fermi level at 2.748 states/eV per atom. As for the density: 11.24 g/cm3.

a b c (Å): 5.375 5.375 5.375
angles (deg): 60.00 60.00 60.00
Element x y z (fractional)
Pa1 0.500 0.500 0.500
Ce1 0.250 0.250 0.250
Ce2 0.750 0.750 0.750
Th1 0.000 0.000 0.000

Which one sits at the bottom of the stability order? #iii does.

#i
# CeTh2Pa

A relaxed structure of CeTh2Pa (PBE, Alexandria).

Summary:
The volume comes out at 28.78 Å³ per atom. The calculation puts the density of states at the Fermi level at 2.151 states/eV per atom. As for the density: 12.05 g/cm3.

a b c (Å): 4.813 4.890 4.890
angles (deg): 90.00 90.00 90.00
Element x y z (fractional)
Pa1 0.500 0.000 0.000
Ce1 0.500 0.500 0.500
Th1 0.000 0.000 0.500
Th2 0.000 0.500 0.000

#ii
# CeTh2Pa

A relaxed structure of CeTh2Pa (PBE, Alexandria).

Summary:
The volume comes out at 28.79 Å³ per atom. The calculation puts the density of states at the Fermi level at 1.687 states/eV per atom. As for the density: 12.04 g/cm3.

a b c (Å): 3.451 3.451 9.668
angles (deg): 90.00 90.00 90.00
Element x y z (fractional)
Pa1 0.500 0.500 0.000
Ce1 0.500 0.500 0.500
Th1 0.000 0.000 0.753
Th2 0.000 0.000 0.247

#iii
# CeTh2Pa

A relaxed structure of CeTh2Pa (PBE, Alexandria).

Summary:
The volume comes out at 31.05 Å³ per atom. The calculation puts the density of states at the Fermi level at 2.971 states/eV per atom. As for the density: 11.17 g/cm3.

a b c (Å): 4.243 4.243 8.335
angles (deg): 75.25 75.25 60.00
Last column: magnetic moment on the atom in μB.
Element x y z (fractional)
Ce1 0.501 0.501 0.496  0.41
Th1 0.074 0.074 0.777  0.03
Th2 0.256 0.256 0.232  0.03
Pa1 0.668 0.668 0.995  -0.02

#iv
# CeTh2Pa

A relaxed structure of CeTh2Pa (PBE, Alexandria).

Summary:
The volume comes out at 29.11 Å³ per atom. The calculation puts the density of states at the Fermi level at 2.369 states/eV per atom. As for the density: 11.91 g/cm3.

a b c (Å): 5.481 5.481 5.481
angles (deg): 60.00 60.00 60.00
Element x y z (fractional)
Pa1 0.000 0.000 0.000
Ce1 0.500 0.500 0.500
Th1 0.250 0.250 0.250
Th2 0.750 0.750 0.750

Which one sits at the bottom of the stability order? #iii does.